#A
YMoRu2 at its PBEsol-relaxed geometry. Source: the Alexandria database, functional SCAN.

a = 5.0927 Å, b = 5.0927 Å, c = 2.8503 Å
α = 101.10°, β = 101.10°, γ = 110.84°
Last column: nearest neighbours and their distance in Å.
Fractional positions:
Y (0.0000, 0.0000, 0.0000)  4 Ru 2.67, 2 Y 2.85, 2 Mo 2.89
Mo (0.5000, 0.5000, 0.0000)  4 Ru 2.67, 2 Mo 2.85, 2 Y 2.89
Ru (0.0000, 0.5000, 0.5000)  2 Mo 2.67, 2 Y 2.67, 4 Ru 2.85-2.89
Ru (0.5000, 0.0000, 0.5000)  2 Mo 2.67, 2 Y 2.67, 4 Ru 2.85-2.89

Summary:
- Total magnetic moment: 0.00 μB/atom
- Space-group type: C2/m (12)

=====

#B
YMoRu2 at its PBEsol-relaxed geometry. Source: the Alexandria database, functional SCAN.

a = 3.0809 Å, b = 3.0809 Å, c = 7.0530 Å
α = 90.00°, β = 90.00°, γ = 90.00°
Last column: nearest neighbours and their distance in Å.
Fractional positions:
Y (0.0000, 0.0000, 0.0000)  8 Ru 3.00, 4 Y 3.08
Mo (0.0000, 0.0000, 0.5000)  8 Ru 2.63
Ru (0.5000, 0.5000, 0.2917)  4 Mo 2.63, 1 Ru 2.94
Ru (0.5000, 0.5000, 0.7083)  4 Mo 2.63, 1 Ru 2.94

Summary:
- Total magnetic moment: 0.00 μB/atom
- Space-group type: P4/mmm (123)

=====

It comes down to #B, which is 351 meV per atom more stable than the next structure.